The following is a PBE-GGA calculation of YBiRhO6 after structural relaxation, from Alexandria.

Output
As for the raw total energy: -6.7294 eV/atom. As for the space-group type: P-31c (163). The uncorrected formation energy is -1.46 eV/atom.

Cell lengths 5.518, 5.518, 9.289 Å; angles 90.00, 90.00, 120.00 degrees
Sites, in units of the cell vectors:
1 Y 0.333 0.667 0.250
2 Y 0.667 0.333 0.750
3 Bi 0.000 0.000 0.000
4 Bi 0.000 0.000 0.500
5 Rh 0.333 0.667 0.750
6 Rh 0.667 0.333 0.250
7 O 0.035 0.367 0.629
8 O 0.035 0.668 0.871
9 O 0.332 0.367 0.871
10 O 0.332 0.965 0.629
11 O 0.367 0.035 0.129
12 O 0.367 0.332 0.371
13 O 0.633 0.668 0.629
14 O 0.633 0.965 0.871
15 O 0.668 0.035 0.371
16 O 0.668 0.633 0.129
17 O 0.965 0.332 0.129
18 O 0.965 0.633 0.371

---

The following is a PBE-GGA calculation of Ca4PrTl5 after structural relaxation, from Alexandria.

Output
The energy relative to the elements is -42 kJ per mole of atoms. As for the raw total energy: -2.8937 eV/atom. As for the space-group type: P4/mmm (123).

Cell lengths 3.908, 3.908, 19.377 Å; angles 90.00, 90.00, 90.00 degrees
Sites, in units of the cell vectors:
1 Ca 0.000 0.000 0.099
2 Ca 0.000 0.000 0.297
3 Ca 0.000 0.000 0.703
4 Ca 0.000 0.000 0.901
5 Pr 0.000 0.000 0.500
6 Tl 0.500 0.500 0.000
7 Tl 0.500 0.500 0.198
8 Tl 0.500 0.500 0.397
9 Tl 0.500 0.500 0.603
10 Tl 0.500 0.500 0.802

---

- Which value of raw total energy does entry 1 give?
  -6.7294 eV/atom